# 1
## FeP2RhCl (GGA-PBE)

Data for crystalline FeP2RhCl at its relaxed geometry.

Results
Total magnetic moment (μB/f.u.): 0.01
Energy above the lowest structure with this stoichiometry (meV/atom): 416
SG: P4/mmm (123)

Unit cell a=4.515 b=4.515 c=4.884 alpha=90.00 beta=90.00 gamma=90.00
Element x y z (fractional)
Fe: 0.000 0.000 0.000
P: 0.000 0.500 0.500
P: 0.500 0.000 0.500
Rh: 0.500 0.500 0.500
Cl: 0.500 0.500 0.000



# 2
## FeP2RuCl (GGA-PBE)

Data for crystalline FeP2RuCl at its relaxed geometry.

Results
Total magnetic moment (μB/f.u.): 3.05
Energy above the lowest structure with this stoichiometry (meV/atom): 0
SG: P4/mmm (123)

Unit cell a=4.503 b=4.503 c=5.015 alpha=90.00 beta=90.00 gamma=90.00
Element x y z (fractional)
Fe: 0.000 0.000 0.000
P: 0.000 0.500 0.500
P: 0.500 0.000 0.500
Ru: 0.500 0.500 0.500
Cl: 0.500 0.500 0.000



# 3
## FePRuCl2 (GGA-PBE)

Data for crystalline FePRuCl2 at its relaxed geometry.

Results
Total magnetic moment (μB/f.u.): 3.85
Energy above the lowest structure with this stoichiometry (meV/atom): 0
SG: P4/mmm (123)

Unit cell a=4.888 b=4.888 c=4.479 alpha=90.00 beta=90.00 gamma=90.00
Element x y z (fractional)
Fe: 0.000 0.000 0.000
P: 0.500 0.500 0.000
Ru: 0.500 0.500 0.500
Cl: 0.000 0.500 0.500
Cl: 0.500 0.000 0.500



# 4
## FeP2RuCl (GGA-PBE)

Data for crystalline FeP2RuCl at its relaxed geometry.

Results
Total magnetic moment (μB/f.u.): 1.15
Energy above the lowest structure with this stoichiometry (meV/atom): 51
SG: P4/mmm (123)

Unit cell a=4.246 b=4.246 c=4.674 alpha=90.00 beta=90.00 gamma=90.00
Element x y z (fractional)
Fe: 0.000 0.000 0.000
P: 0.000 0.500 0.000
P: 0.500 0.000 0.000
Ru: 0.500 0.500 0.500
Cl: 0.000 0.000 0.500



# 5
## FePRuCl2 (GGA-PBE)

Data for crystalline FePRuCl2 at its relaxed geometry.

Results
Total magnetic moment (μB/f.u.): 1.55
Energy above the lowest structure with this stoichiometry (meV/atom): 294
SG: P4/mmm (123)

Unit cell a=4.547 b=4.547 c=4.393 alpha=90.00 beta=90.00 gamma=90.00
Element x y z (fractional)
Fe: 0.000 0.000 0.000
P: 0.000 0.000 0.500
Ru: 0.500 0.500 0.500
Cl: 0.000 0.500 0.000
Cl: 0.500 0.000 0.000



# 6
## FePSCl2 (GGA-PBE)

Data for crystalline FePSCl2 at its relaxed geometry.

Results
Total magnetic moment (μB/f.u.): 0.41
Energy above the lowest structure with this stoichiometry (meV/atom): 0
SG: P4/mmm (123)

Unit cell a=4.381 b=4.381 c=4.692 alpha=90.00 beta=90.00 gamma=90.00
Element x y z (fractional)
Fe: 0.000 0.000 0.000
P: 0.000 0.000 0.500
S: 0.500 0.500 0.500
Cl: 0.000 0.500 0.000
Cl: 0.500 0.000 0.000



# 7
## FePSCl2 (GGA-PBE)

Data for crystalline FePSCl2 at its relaxed geometry.

Results
Total magnetic moment (μB/f.u.): 3.92
Energy above the lowest structure with this stoichiometry (meV/atom): 445
SG: P4/mmm (123)

Unit cell a=4.693 b=4.693 c=4.809 alpha=90.00 beta=90.00 gamma=90.00
Element x y z (fractional)
Fe: 0.000 0.000 0.000
P: 0.500 0.500 0.000
S: 0.500 0.500 0.500
Cl: 0.000 0.500 0.500
Cl: 0.500 0.000 0.500



# 8
## FePSCl2 (GGA-PBE)

Data for crystalline FePSCl2 at its relaxed geometry.

Results
Total magnetic moment (μB/f.u.): 3.71
Energy above the lowest structure with this stoichiometry (meV/atom): 21
SG: P4/mmm (123)

Unit cell a=4.731 b=4.731 c=4.681 alpha=90.00 beta=90.00 gamma=90.00
Element x y z (fractional)
Fe: 0.000 0.000 0.000
P: 0.500 0.500 0.500
S: 0.500 0.500 0.000
Cl: 0.000 0.500 0.500
Cl: 0.500 0.000 0.500



# 9
## FePSCl2 (GGA-PBE)

Data for crystalline FePSCl2 at its relaxed geometry.

Results
Total magnetic moment (μB/f.u.): 0.00
Energy above the lowest structure with this stoichiometry (meV/atom): 2
SG: P4/mmm (123)

Unit cell a=4.493 b=4.493 c=4.447 alpha=90.00 beta=90.00 gamma=90.00
Element x y z (fractional)
Fe: 0.000 0.000 0.000
P: 0.500 0.500 0.500
S: 0.000 0.000 0.500
Cl: 0.000 0.500 0.000
Cl: 0.500 0.000 0.000



# 10
## FeSbPCl2 (GGA-PBE)

Data for crystalline FeSbPCl2 at its relaxed geometry.

Results
Total magnetic moment (μB/f.u.): 3.88
Energy above the lowest structure with this stoichiometry (meV/atom): 549
SG: P4/mmm (123)

Unit cell a=5.131 b=5.131 c=5.359 alpha=90.00 beta=90.00 gamma=90.00
Element x y z (fractional)
Fe: 0.000 0.000 0.000
Sb: 0.500 0.500 0.500
P: 0.500 0.500 0.000
Cl: 0.000 0.500 0.500
Cl: 0.500 0.000 0.500



# 11
## FeSbPCl2 (GGA-PBE)

Data for crystalline FeSbPCl2 at its relaxed geometry.

Results
Total magnetic moment (μB/f.u.): 2.68
Energy above the lowest structure with this stoichiometry (meV/atom): 0
SG: P4/mmm (123)

Unit cell a=4.519 b=4.519 c=5.043 alpha=90.00 beta=90.00 gamma=90.00
Element x y z (fractional)
Fe: 0.000 0.000 0.000
Sb: 0.500 0.500 0.500
P: 0.000 0.000 0.500
Cl: 0.000 0.500 0.000
Cl: 0.500 0.000 0.000



# 12
## FePSeCl2 (GGA-PBE)

Data for crystalline FePSeCl2 at its relaxed geometry.

Results
Total magnetic moment (μB/f.u.): 0.00
Energy above the lowest structure with this stoichiometry (meV/atom): 0
SG: P4/mmm (123)

Unit cell a=4.426 b=4.426 c=4.695 alpha=90.00 beta=90.00 gamma=90.00
Element x y z (fractional)
Fe: 0.000 0.000 0.000
P: 0.000 0.000 0.500
Se: 0.500 0.500 0.500
Cl: 0.000 0.500 0.000
Cl: 0.500 0.000 0.000



Formation energy from raw total energies, record by record: 1038; 781; 632; 832; 926; 505; 950; 526; 507; 710; 161; 369 meV per atom